An optimized crystal structure of CaSmEu4. Source: the Alexandria database, functional PBE.

Cell lengths 7.051, 7.051, 7.051 Å; angles 60.00, 60.00, 60.00 degrees
Last column: magnetic moment on the atom in μB.
Sites, in units of the cell vectors:
1 Eu 0.626 0.626 0.122  7.05
2 Eu 0.626 0.122 0.626  7.05
3 Eu 0.626 0.626 0.626  7.05
4 Eu 0.122 0.626 0.626  7.05
5 Ca 0.250 0.250 0.250  0.01
6 Sm 0.000 0.000 0.000  0.15

Output
Mass density, g/cm³: 5.35
E_tot, eV/cell: -46.65
Calculated formation energy, eV per atom: 0.195